{
  "formula": "MgCoOs2",
  "functional": "PBE",
  "state": "relaxed",
  "delta_e_f_ev_per_atom": 0.211,
  "cell": [[-0.9801, -3.8525, -2.9831], [1.6715, -4.0275, -2.3847], [-0.7807, -4.0979, 2.2609]],
  "species": ["Co", "Mg", "Os", "Os"],
  "frac_coords": [[0.4864, 0.4864, 0.4075], [0.2347, 0.2347, 0.3369], [0.0122, 0.0122, 0.9322], [0.7667, 0.7667, 0.8235]]
}